Below is a relaxed CuTcB crystal, with properties calculated at the PBE level.

Unit cell a=2.8699 b=4.1548 c=6.1621 alpha=99.10 beta=90.14 gamma=110.08
With the nearest neighbours (Å) after each atom.
Space group P-1 (No. 2)
One atom of each set of equivalent atoms:
Cu1 0.1297 0.2590 0.4332 (multiplicity 2)  1 B 2.01
Tc1 0.3736 0.7457 0.1601 (multiplicity 2)  5 B 2.16-2.31
B1 0.0931 0.1854 0.1016 (multiplicity 2)  1 B 1.75

DFT total energy   -42.02 eV per cell
Offset from the most stable computed form   0.1371 eV per atom
DFT formation energy   0.043 eV per atom
Fermi-level density of states   0.748 states/eV per atom

=====

Below is a relaxed TePbIO6 crystal, with properties calculated at the PBE level.

Unit cell a=5.8507 b=5.8507 c=5.3012 alpha=90.00 beta=90.00 gamma=120.00
With the nearest neighbours (Å) after each atom.
Space group P3 (No. 143)
One atom of each set of equivalent atoms:
Te1 0.0000 0.0000 0.0000 (multiplicity 1)  3 O 1.92
Pb1 0.6667 0.3333 0.5711 (multiplicity 1)  3 O 2.41
I1 0.3333 0.6667 0.0757 (multiplicity 1)  3 O 1.88
O1 0.0786 0.3759 0.2603 (multiplicity 3)  1 I 1.88
O2 0.3008 0.2737 0.8288 (multiplicity 3)  1 Te 1.92

DFT total energy   -44.38 eV per cell
Energy relative to the elements, uncorrected   -66.8 kJ per mole of atoms
Fermi-level density of states   0.240 states/eV per atom

=====

Below is a relaxed Pm6Pr3Sc2 crystal, with properties calculated at the PBE level.

Unit cell a=5.8247 b=12.1613 c=10.4142 alpha=90.00 beta=90.00 gamma=90.00
With the nearest neighbours (Å) after each atom.
Space group Cmmm (No. 65)
One atom of each set of equivalent atoms:
Pm1 0.0000 0.0000 0.2150 (multiplicity 4)  4 Pr 3.35-3.67, 2 Sc 3.35, 4 Pm 3.60
Pm2 0.0000 0.3494 0.3181 (multiplicity 8)  3 Sc 3.30-3.49, 3 Pm 3.60-3.66
Pr1 0.0000 0.2044 0.0000 (multiplicity 4)  2 Pr 3.12, 2 Pm 3.35
Pr2 0.0000 0.5000 0.0000 (multiplicity 2)  6 Pr 3.60-3.83, 8 Pm 3.67-3.79
Sc1 0.0000 0.1272 0.5000 (multiplicity 4)  1 Sc 3.09, 4 Pm 3.30-3.35

DFT total energy   -107.90 eV per cell
DFT formation energy   0.141 eV per atom
Fermi-level density of states   1.610 states/eV per atom

=====

Below is a relaxed Li2SnAu crystal, with properties calculated at the PBE level.

Unit cell a=6.5315 b=6.5315 c=6.5315 alpha=90.00 beta=90.00 gamma=90.00
With the nearest neighbours (Å) after each atom.
Space group F-43m (No. 216)
One atom of each set of equivalent atoms:
Li1 0.0000 0.0000 0.0000 (multiplicity 4)  4 Au 2.83, 4 Li 2.83
Li2 0.2500 0.2500 0.2500 (multiplicity 4)  4 Sn 2.83, 4 Li 2.83
Sn1 0.0000 0.0000 0.5000 (multiplicity 4)  4 Li 2.83, 4 Au 2.83
Au1 0.2500 0.2500 0.7500 (multiplicity 4)  4 Sn 2.83, 4 Li 2.83

DFT total energy   -52.83 eV per cell
DFT formation energy   -0.525 eV per atom
Fermi-level density of states   0.587 states/eV per atom

=====

Below is a relaxed CdHg2Au crystal, with properties calculated at the PBE level.

Unit cell a=3.7701 b=4.2861 c=5.7704 alpha=90.00 beta=96.92 gamma=90.00
With the nearest neighbours (Å) after each atom.
Space group Pm (No. 6)
One atom of each set of equivalent atoms:
Cd1 0.0000 0.0000 0.0000 (multiplicity 1)  4 Au 2.95-3.07, 4 Hg 2.96-3.24
Hg1 0.1976 0.0000 0.5196 (multiplicity 1)  2 Au 2.94, 2 Cd 2.96-3.00, 4 Hg 3.04-3.07
Hg2 0.6564 0.5000 0.3290 (multiplicity 1)  2 Au 2.84-3.06, 4 Hg 3.04-3.07
Au1 0.4945 0.5000 0.8352 (multiplicity 1)  4 Hg 2.84-3.06, 4 Cd 2.95-3.07

DFT total energy   -4.77 eV per cell
Offset from the most stable computed form   0.0127 eV per atom
DFT formation energy   0.006 eV per atom
Fermi-level density of states   0.184 states/eV per atom

=====

Below is a relaxed KTl2Te crystal, with properties calculated at the PBE level.

Unit cell a=4.8365 b=5.7479 c=5.2765 alpha=90.00 beta=95.75 gamma=90.00
With the nearest neighbours (Å) after each atom.
Space group P2/m (No. 10)
One atom of each set of equivalent atoms:
K1 0.0000 0.0000 0.0000 (multiplicity 1)  4 Te 3.40-3.75, 4 Tl 3.54
Tl1 0.2757 0.5000 0.7247 (multiplicity 2)  2 Te 3.33, 3 Tl 3.37-3.45, 2 K 3.54
Te1 0.5000 0.0000 0.5000 (multiplicity 1)  4 Tl 3.33, 2 K 3.40

DFT total energy   -10.46 eV per cell
Offset from the most stable computed form   0.0430 eV per atom
Energy relative to the elements, uncorrected   -36.0 kJ per mole of atoms
Fermi-level density of states   0.384 states/eV per atom

=====

Below is a relaxed Li6Tl2Pd3 crystal, with properties calculated at the PBE level.

Unit cell a=3.9871 b=3.9871 c=25.2646 alpha=90.00 beta=90.00 gamma=90.00
With the nearest neighbours (Å) after each atom.
Space group I4/mmm (No. 139)
One atom of each set of equivalent atoms:
Li1 0.0000 0.0000 0.2228 (multiplicity 4)  1 Pd 2.53
Li2 0.0000 0.5000 0.0596 (multiplicity 8)  4 Pd 2.50-2.55
Tl1 0.0000 0.0000 0.3417 (multiplicity 4)  4 Pd 2.96, 9 Li 3.00-3.26
Pd1 0.0000 0.0000 0.0000 (multiplicity 2)  8 Li 2.50
Pd2 0.0000 0.0000 0.1228 (multiplicity 4)  5 Li 2.53-2.55

DFT total energy   -68.78 eV per cell
DFT formation energy   -0.236 eV per atom
Fermi-level density of states   0.316 states/eV per atom

=====

Below is a relaxed LaZn2SiPd crystal, with properties calculated at the PBE level.

Unit cell a=4.2815 b=4.3407 c=10.2976 alpha=90.00 beta=90.00 gamma=90.00
With the nearest neighbours (Å) after each atom.
Space group Imm2 (No. 44)
One atom of each set of equivalent atoms:
La1 0.0000 0.0000 0.0000 (multiplicity 2)  4 Pd 3.23-3.49, 4 Si 3.28, 8 Zn 3.29-3.38
Zn1 0.0000 0.0000 0.3798 (multiplicity 2)  1 Si 2.45, 2 Zn 2.57, 2 Pd 2.61
Zn2 0.0000 0.5000 0.2460 (multiplicity 2)  2 Si 2.52, 2 Zn 2.57
Si1 0.0000 0.0000 0.6176 (multiplicity 2)  3 Zn 2.45-2.52, 2 Pd 2.48
Pd1 0.0000 0.5000 0.7343 (multiplicity 2)  2 Si 2.48, 2 Zn 2.61

DFT total energy   -42.29 eV per cell
Energy relative to the elements, uncorrected   -59.0 kJ per mole of atoms
Fermi-level density of states   0.604 states/eV per atom